[1]
The following is a DFT calculation (GGA-PBEsol) of TaZn2W after structural relaxation. Values from VASP.

Quantum ESPRESSO input file:
```
&SYSTEM
  ibrav = 0, nat = 4, ntyp = 3
/
ATOMIC_SPECIES
Ta 180.95 Ta.upf
W 183.84 W.upf
Zn 65.41 Zn.upf
ATOMIC_POSITIONS crystal
Ta 0.5000 0.5000 0.5000
W 0.0000 0.0000 0.0000
Zn 0.2521 0.2521 0.2438
Zn 0.7479 0.7479 0.7562
CELL_PARAMETERS angstrom
-0.1538 2.7885 -0.1227
-2.4106 1.2935 0.5749
1.5284 1.8804 8.9733
```

Computed properties:
- Formation energy: 0.264 eV/atom
- Density of states at the Fermi level: 2.74 states/eV/cell
- Crystal system: trigonal
- Space-group type: No. 166

---

[2]
The following is a DFT calculation (GGA-PBEsol) of LuTl3 after structural relaxation. Values from VASP.

Quantum ESPRESSO input file:
```
&SYSTEM
  ibrav = 0, nat = 4, ntyp = 2
/
ATOMIC_SPECIES
Tl 204.38 Tl.upf
Lu 174.97 Lu.upf
ATOMIC_POSITIONS crystal
Tl 0.0000 0.5000 0.5000
Tl 0.5000 0.5000 0.0000
Tl 0.5000 0.0000 0.5000
Lu 0.0000 0.0000 0.0000
CELL_PARAMETERS angstrom
4.6280 0.0000 0.0000
0.0000 4.6280 0.0000
0.0000 0.0000 4.6280
```

Computed properties:
- Formation energy: -0.207 eV/atom
- Density of states at the Fermi level: 2.13 states/eV/cell
- Crystal system: cubic
- Space-group type: No. 221

---

[3]
The following is a DFT calculation (GGA-PBEsol) of CsCu2Si2 after structural relaxation. Values from VASP.

Quantum ESPRESSO input file:
```
&SYSTEM
  ibrav = 0, nat = 5, ntyp = 3
/
ATOMIC_SPECIES
Cs 132.91 Cs.upf
Si 28.09 Si.upf
Cu 63.55 Cu.upf
ATOMIC_POSITIONS crystal
Cs 0.0000 0.0000 0.0000
Si 0.2500 0.7500 0.5000
Si 0.7500 0.2500 0.5000
Cu 0.3289 0.3289 0.6577
Cu 0.6711 0.6711 0.3423
CELL_PARAMETERS angstrom
4.1635 0.0000 0.0000
0.0000 4.1635 0.0000
-2.0818 -2.0818 6.5920
```

Computed properties:
- Formation energy without anion corrections: 0.18 eV per atom
- Density of states at the Fermi level: 1.86 states/eV/cell
- Crystal system: tetragonal
- Space-group type: No. 139

---

[4]
The following is a DFT calculation (GGA-PBEsol) of Sc2Ni after structural relaxation. Values from VASP.

Quantum ESPRESSO input file:
```
&SYSTEM
  ibrav = 0, nat = 24, ntyp = 2
/
ATOMIC_SPECIES
Ni 58.69 Ni.upf
Sc 44.96 Sc.upf
ATOMIC_POSITIONS crystal
Ni 0.3357 0.9928 0.3357
Ni 0.9928 0.3357 0.3357
Ni 0.3357 0.3357 0.9928
Ni 0.3357 0.3357 0.3357
Ni 0.9143 0.2572 0.9143
Ni 0.2572 0.9143 0.9143
Ni 0.9143 0.9143 0.2572
Ni 0.9143 0.9143 0.9143
Sc 0.1250 0.1250 0.1250
Sc 0.1250 0.1250 0.6250
Sc 0.6250 0.1250 0.1250
Sc 0.1250 0.6250 0.1250
Sc 0.9360 0.9360 0.5640
Sc 0.5640 0.9360 0.9360
Sc 0.5640 0.9360 0.5640
Sc 0.9360 0.5640 0.9360
Sc 0.9360 0.5640 0.5640
Sc 0.5640 0.5640 0.9360
Sc 0.3140 0.3140 0.6860
Sc 0.6860 0.3140 0.3140
Sc 0.6860 0.3140 0.6860
Sc 0.3140 0.6860 0.3140
Sc 0.3140 0.6860 0.6860
Sc 0.6860 0.6860 0.3140
CELL_PARAMETERS angstrom
8.4397 0.0000 0.0000
4.2199 7.3090 0.0000
4.2199 2.4363 6.8910
```

Computed properties:
- Formation energy: -0.354 eV/atom
- Density of states at the Fermi level: 19.72 states/eV/cell
- Crystal system: cubic
- Space-group type: No. 227

---

[5]
The following is a DFT calculation (GGA-PBEsol) of Cr2SiHg after structural relaxation. Values from VASP.

Quantum ESPRESSO input file:
```
&SYSTEM
  ibrav = 0, nat = 4, ntyp = 3
/
ATOMIC_SPECIES
Cr 52.00 Cr.upf
Hg 200.59 Hg.upf
Si 28.09 Si.upf
ATOMIC_POSITIONS crystal
Cr 0.0000 0.0000 0.2063
Cr 0.0000 0.0000 0.7937
Hg 0.5000 0.5000 0.5000
Si 0.5000 0.5000 0.0000
CELL_PARAMETERS angstrom
2.8095 0.0432 0.0000
-0.0422 2.8095 0.0000
0.0000 0.0000 7.0315
```

Computed properties:
- Formation energy without anion corrections: 0.24 eV per atom
- Density of states at the Fermi level: 4.77 states/eV/cell
- Crystal system: tetragonal
- Space-group type: No. 123

---

[6]
The following is a DFT calculation (GGA-PBEsol) of MgTcAgOs2 after structural relaxation. Values from VASP.

Quantum ESPRESSO input file:
```
&SYSTEM
  ibrav = 0, nat = 5, ntyp = 4
/
ATOMIC_SPECIES
Mg 24.30 Mg.upf
Os 190.23 Os.upf
Tc 98.00 Tc.upf
Ag 107.87 Ag.upf
ATOMIC_POSITIONS crystal
Mg 0.5000 0.0000 0.0000
Os 0.0000 0.0000 0.5000
Os 0.0000 0.5000 0.0000
Tc 0.5000 0.5000 0.5000
Ag 0.0000 0.0000 0.0000
CELL_PARAMETERS angstrom
-1.5993 1.5918 3.7384
-4.1602 0.8134 -2.1261
-1.4714 -4.3404 1.2187
```

Computed properties:
- Formation energy: 2.533 eV/atom
- Density of states at the Fermi level: 7.30 states/eV/cell
- Crystal system: tetragonal
- Space-group type: No. 123